DFT (PBE) results for an optimized crystal structure of Nd8PIr3I3.

```
Nd8PIr3I3
1.0
8.492 0.001 0.001
-4.245 7.353 -0.027
0.000 -4.873 7.878
Nd Ir I P
8 3 3 1
Cartesian
-2.065 3.664 5.400
2.180 -1.183 2.452
4.246 0.020 5.420
0.001 2.461 2.432
4.246 2.395 2.438
6.312 -1.183 2.452
0.001 0.086 5.414
2.067 3.664 5.400
4.246 -2.436 3.939
-2.123 1.240 3.926
2.123 1.240 3.926
-2.123 3.677 -0.013
2.123 3.677 -0.013
0.000 0.000 0.000
0.000 -2.436 3.939
```

Formation energy without anion corrections   -0.896 eV/atom
VASP energy   -5.88 eV/atom


DFT (PBE) results for an optimized crystal structure of Ag3SCl.

```
Ag3SCl
1.0
-5.139 4.036 1.465
-1.426 1.088 -7.995
-4.521 -6.705 2.611
Ag Cl S
12 4 4
Cartesian
-5.961 -4.877 1.750
-6.463 2.830 0.135
-4.622 -4.412 -4.053
-6.869 -1.995 -3.289
-4.670 2.724 -2.578
-8.198 0.351 -5.111
-3.885 -1.396 -3.704
-5.124 3.295 -5.668
-7.201 -0.186 -0.214
-6.416 -4.306 -1.340
-4.216 0.413 -0.629
-2.888 -1.933 1.193
-4.442 -2.721 -0.942
-3.066 1.310 -6.196
-6.644 1.140 -2.976
-8.020 -2.891 2.278
-8.409 -2.016 -1.382
-5.569 0.898 1.347
-5.516 -2.479 -5.265
-2.677 0.434 -2.536
```

Formation energy without anion corrections   -0.177 eV/atom
VASP energy   -3.08 eV/atom


DFT (PBE) results for an optimized crystal structure of ZrAl2W.

```
ZrAl2W
1.0
-0.912 3.707 -2.435
-2.153 0.707 1.882
2.841 2.857 3.284
Al Zr W
2 1 1
Cartesian
2.489 2.912 3.501
0.050 2.738 -0.061
0.222 4.568 2.661
0.201 1.691 2.498
```

Energy of formation from the pure elements   -147 meV/atom
VASP energy   -7.39 eV/atom
Energy above the most stable polymorph in this dataset   3.57 kJ/mol of atoms


DFT (PBE) results for an optimized crystal structure of InReTe2.

```
InReTe2
1.0
3.986 0.000 0.000
0.000 6.066 0.097
0.000 3.616 4.873
Te In Re
2 1 1
Cartesian
0.000 8.851 4.543
0.000 5.673 2.912
1.993 2.421 1.243
1.993 7.262 3.728
```

Formation energy without anion corrections   0.281 eV/atom
VASP energy   -5.09 eV/atom


DFT (PBE) results for an optimized crystal structure of CdInPCl2.

```
CdInPCl2
1.0
-0.589 0.934 -4.950
-5.037 -0.043 0.591
0.071 5.279 0.987
Cl P In Cd
2 1 1 1
Cartesian
-0.294 0.467 -2.475
-2.518 -0.021 0.296
0.036 2.639 0.494
0.000 0.000 0.000
-2.777 3.085 -1.686
```

Formation energy without anion corrections   -0.050 eV/atom
VASP energy   -2.60 eV/atom
Energy above the most stable polymorph in this dataset   7.18 kJ/mol of atoms


DFT (PBE) results for an optimized crystal structure of TlSNF2.

```
TlSNF2
1.0
4.388 0.000 0.000
0.000 4.388 0.000
0.000 0.000 4.609
F S Tl N
2 1 1 1
Cartesian
2.194 0.000 0.000
0.000 2.194 0.000
2.194 2.194 2.305
0.000 0.000 0.000
0.000 0.000 2.305
```

Formation energy without anion corrections   0.391 eV/atom
VASP energy   -3.32 eV/atom
Energy above the most stable polymorph in this dataset   74.46 kJ/mol of atoms